# TlZn2GeOs

A relaxed TlZn2GeOs crystal (PBE, the Alexandria database).

Cell lengths 4.818, 4.818, 4.727 Å; angles 90.00, 90.00, 90.00 degrees
Space group P4/mmm (No. 123)
Asymmetric unit:
Tl  0.000  0.000  0.000
Zn  0.000  0.500  0.500
Ge  0.500  0.500  0.500
Os  0.500  0.500  0.000

## Properties
Energy of formation (eV/atom): 0.865